(A)
Below is a PBEsol-optimized structure of AlAgAs2, with properties calculated at the meta-GGA SCAN level.

Output
As for the total moment: 0.0 μB per cell. Its space-group type is P2/m (10).

Cell lengths 4.1085, 3.5940, 5.4547 Å; angles 90.00, 109.01, 90.00 degrees
Closest atoms and distances in Å follow each position.
Fractional positions:
Al  0.0000  0.0000  0.0000  4 As 2.61, 2 Ag 2.83
Ag  0.5000  0.0000  0.5000  4 As 2.71, 2 Al 2.83
As  0.2781  0.5000  0.7822  1 As 2.48, 2 Al 2.61, 2 Ag 2.71
As  0.7219  0.5000  0.2178  1 As 2.48, 2 Al 2.61, 2 Ag 2.71

***

(B)
Below is a PBEsol-optimized structure of AlAgAs2, with properties calculated at the meta-GGA SCAN level.

Output
As for the total moment: 0.0 μB per cell. Its space-group type is I-42d (122).

Cell lengths 6.8711, 6.8711, 6.8711 Å; angles 129.56, 129.56, 74.11 degrees
Closest atoms and distances in Å follow each position.
Fractional positions:
Al  0.0000  0.0000  0.0000  4 As 2.46
Al  0.7500  0.2500  0.5000  4 As 2.46
Ag  0.2500  0.7500  0.5000  4 As 2.51
Ag  0.5000  0.5000  0.0000  4 As 2.51
As  0.1175  0.6250  0.9925  2 Al 2.46, 2 Ag 2.51
As  0.3750  0.3675  0.4925  2 Al 2.46, 2 Ag 2.51
As  0.6325  0.1250  0.0075  2 Al 2.46, 2 Ag 2.51
As  0.8750  0.8825  0.5075  2 Al 2.46, 2 Ag 2.51

***

The most stable of them is (B).

***

(A)
Below is a PBEsol-optimized structure of AlAg2As, with properties calculated at the meta-GGA SCAN level.

Output
As for the total moment: 0.0 μB per cell. Its space-group type is P4/mmm (123).

Cell lengths 2.8922, 2.8922, 8.1025 Å; angles 90.00, 90.00, 90.00 degrees
Closest atoms and distances in Å follow each position.
Fractional positions:
Al  0.0000  0.0000  0.0000  8 Ag 2.77, 4 Al 2.89
Ag  0.5000  0.5000  0.2306  4 Al 2.77, 4 Ag 2.89, 4 As 2.99
Ag  0.5000  0.5000  0.7694  4 Al 2.77, 4 Ag 2.89, 4 As 2.99
As  0.0000  0.0000  0.5000  4 As 2.89, 8 Ag 2.99

***

(B)
Below is a PBEsol-optimized structure of AlAg2As, with properties calculated at the meta-GGA SCAN level.

Output
As for the total moment: 0.0 μB per cell. Its space-group type is Pmmm (47).

Cell lengths 3.2359, 4.4996, 4.7121 Å; angles 90.00, 90.00, 90.00 degrees
Closest atoms and distances in Å follow each position.
Fractional positions:
Al  0.0000  0.0000  0.0000  4 Ag 2.77, 4 As 2.86
Ag  0.0000  0.5000  0.5000  4 As 2.77, 4 Ag 2.86
Ag  0.5000  0.5000  0.0000  4 Al 2.77, 4 Ag 2.86
As  0.5000  0.0000  0.5000  4 Ag 2.77, 4 Al 2.86

***

The most stable of them is (A).

***

(A)
Below is a PBEsol-optimized structure of Al2AgAs, with properties calculated at the meta-GGA SCAN level.

Output
As for the total moment: 0.0 μB per cell. Its space-group type is Pmmm (47).

Cell lengths 2.7531, 3.3763, 7.5417 Å; angles 90.00, 90.00, 90.00 degrees
Closest atoms and distances in Å follow each position.
Fractional positions:
Al  0.0000  0.0000  0.2317  2 As 2.64, 2 Al 2.75, 4 Ag 2.79
Al  0.0000  0.0000  0.7683  2 As 2.64, 2 Al 2.75, 4 Ag 2.79
Ag  0.5000  0.5000  0.0000  2 Ag 2.75, 8 Al 2.79
As  0.0000  0.5000  0.5000  4 Al 2.64, 2 As 2.75

***

(B)
Below is a PBEsol-optimized structure of Al2AgAs, with properties calculated at the meta-GGA SCAN level.

Output
As for the total moment: 0.0 μB per cell. Its space-group type is R3m (160).

Cell lengths 9.1089, 9.1089, 9.1089 Å; angles 18.72, 18.72, 18.72 degrees
Closest atoms and distances in Å follow each position.
Fractional positions:
Al  0.0000  0.0000  0.0000  3 As 2.73, 9 Al 2.76-2.96
Al  0.2525  0.2525  0.2525  3 Ag 2.72, 9 Al 2.76-2.96
Ag  0.5070  0.5070  0.5070  3 Al 2.72, 6 Ag 2.96
As  0.7457  0.7457  0.7457  3 Al 2.73, 6 As 2.96

***

(C)
Below is a PBEsol-optimized structure of Al2AgAs, with properties calculated at the meta-GGA SCAN level.

Output
As for the total moment: 0.0 μB per cell. Its space-group type is Pm (6).

Cell lengths 3.0009, 4.0541, 5.9954 Å; angles 90.00, 104.62, 90.00 degrees
Closest atoms and distances in Å follow each position.
Fractional positions:
Al  0.0000  0.0000  0.0000  1 Ag 2.67, 4 As 2.70
Al  0.3504  0.5000  0.7031  1 As 2.69, 4 Ag 2.70, 2 Al 3.00
Ag  0.7676  0.0000  0.5389  5 Al 2.67-2.70, 2 As 2.96
As  0.5835  0.5000  0.1665  5 Al 2.69-2.70, 2 Ag 2.96, 2 As 3.00

***

The most stable of them is (A).

***

(A)
Below is a PBEsol-optimized structure of AlAgAu, with properties calculated at the meta-GGA SCAN level.

Output
As for the total moment: 0.0 μB per cell. Its space-group type is P-6m2 (187).

Cell lengths 4.4359, 4.4359, 2.8788 Å; angles 90.00, 90.00, 120.00 degrees
Closest atoms and distances in Å follow each position.
Fractional positions:
Al  0.0000  0.0000  0.0000  3 Au 2.56
Ag  0.6667  0.3333  0.5000  2 Ag 2.88, 6 Al 2.94, 6 Au 2.94
Au  0.3333  0.6667  0.0000  3 Al 2.56

***

(B)
Below is a PBEsol-optimized structure of AlAgAu, with properties calculated at the meta-GGA SCAN level.

Output
As for the total moment: 0.0 μB per cell. Its space-group type is I4mm (107).

Cell lengths 4.9972, 4.9972, 4.9972 Å; angles 141.46, 141.46, 55.65 degrees
Closest atoms and distances in Å follow each position.
Fractional positions:
Al  0.0000  0.0000  0.0000  4 Au 2.68, 5 Ag 2.76-2.95
Ag  0.6660  0.6660  0.0000  5 Al 2.76-2.95, 5 Au 2.79-2.85
Au  0.3507  0.3507  0.0000  4 Al 2.68, 5 Ag 2.79-2.85

***

The most stable of them is (B).

***

(A)
Below is a PBEsol-optimized structure of AlAg3C, with properties calculated at the meta-GGA SCAN level.

Output
As for the total moment: 1.1 μB per cell. Its space-group type is Pm-3m (221).

Cell lengths 4.7003, 4.7003, 4.7003 Å; angles 90.00, 90.00, 90.00 degrees
Closest atoms and distances in Å follow each position.
Fractional positions:
Al  0.0000  0.0000  0.0000  6 Ag 2.35
Ag  0.0000  0.0000  0.5000  2 Al 2.35
Ag  0.0000  0.5000  0.0000  2 Al 2.35
Ag  0.5000  0.0000  0.0000  2 Al 2.35
C  0.5000  0.5000  0.5000  12 Ag 3.32

***

(B)
Below is a PBEsol-optimized structure of AlAg3C, with properties calculated at the meta-GGA SCAN level.

Output
As for the total moment: 0.0 μB per cell. Its space-group type is Pm-3m (221).

Cell lengths 4.2888, 4.2888, 4.2888 Å; angles 90.00, 90.00, 90.00 degrees
Closest atoms and distances in Å follow each position.
Fractional positions:
Al  0.0000  0.0000  0.0000  12 Ag 3.03
Ag  0.0000  0.5000  0.5000  2 C 2.14
Ag  0.5000  0.0000  0.5000  2 C 2.14
Ag  0.5000  0.5000  0.0000  2 C 2.14
C  0.5000  0.5000  0.5000  6 Ag 2.14

***

The most stable of them is (B).

***

(A)
Below is a PBEsol-optimized structure of AlCdAg, with properties calculated at the meta-GGA SCAN level.

Output
As for the total moment: 0.0 μB per cell. Its space-group type is Imm2 (44).

Cell lengths 4.9320, 4.9320, 4.9320 Å; angles 141.99, 133.57, 61.51 degrees
Closest atoms and distances in Å follow each position.
Fractional positions:
Al  0.0000  0.0000  0.0000  5 Cd 2.78-2.91, 5 Ag 2.86-2.89
Cd  0.6718  0.6718  0.0000  5 Al 2.78-2.91, 5 Ag 2.81-2.90
Ag  0.3406  0.3406  0.0000  5 Cd 2.81-2.90, 5 Al 2.86-2.89

***

(B)
Below is a PBEsol-optimized structure of AlCdAg, with properties calculated at the meta-GGA SCAN level.

Output
As for the total moment: 0.0 μB per cell. Its space-group type is P-6m2 (187).

Cell lengths 4.5199, 4.5199, 3.0685 Å; angles 90.00, 90.00, 120.00 degrees
Closest atoms and distances in Å follow each position.
Fractional positions:
Al  0.0000  0.0000  0.0000  3 Ag 2.61
Cd  0.6667  0.3333  0.5000  6 Al 3.03, 6 Ag 3.03, 2 Cd 3.07
Ag  0.3333  0.6667  0.0000  3 Al 2.61

***

(C)
Below is a PBEsol-optimized structure of AlCdAg, with properties calculated at the meta-GGA SCAN level.

Output
As for the total moment: 0.0 μB per cell. Its space-group type is P3m1 (156).

Cell lengths 2.9860, 2.9860, 6.8550 Å; angles 90.00, 90.00, 120.00 degrees
Closest atoms and distances in Å follow each position.
Fractional positions:
Al  0.0000  0.0000  0.0000  3 Ag 2.71, 3 Cd 2.95, 6 Al 2.99
Cd  0.3333  0.6667  0.6510  3 Ag 2.93, 3 Al 2.95, 6 Cd 2.99
Ag  0.6667  0.3333  0.3055  3 Al 2.71, 3 Cd 2.93, 6 Ag 2.99

***

The most stable of them is (C).